[1]
Y2RhW, optimized geometry, DFT PBE; excess energy over the best structure of this formula in the dataset = 0.0377 eV/atom; energy of formation from the pure elements = 0.01 eV per atom
1.0
-2.507 0.216 -5.213
-0.927 -2.485 -5.145
-4.606 -2.698 -0.101
Rh W Y
1 1 2
direct
0.528 0.528 0.555
0.212 0.212 0.220
0.979 0.979 0.047
0.781 0.781 0.677


[2]
TmScPb2, optimized geometry, DFT PBE; energy of formation from the pure elements = -0.26 eV per atom
1.0
-2.781 1.867 -3.203
-1.168 -2.441 -3.762
-6.426 -2.504 0.766
Tm Sc Pb
1 1 2
direct
0.671 0.671 0.986
0.493 0.493 0.520
0.087 0.087 0.739
0.248 0.248 0.255


[3]
BiMo2Ru2, optimized geometry, DFT PBE; excess energy over the best structure of this formula in the dataset = 0.0000 eV/atom; energy of formation from the pure elements = 0.33 eV per atom
1.0
7.756 0.000 0.000
0.000 7.756 0.000
0.000 0.000 2.913
Ru Mo Bi
4 4 2
direct
0.362 0.862 0.000
0.862 0.638 0.000
0.638 0.138 0.000
0.138 0.362 0.000
0.146 0.646 0.500
0.646 0.854 0.500
0.854 0.354 0.500
0.354 0.146 0.500
0.000 0.000 0.000
0.500 0.500 0.000


[4]
NaAcPd, optimized geometry, DFT PBE; excess energy over the best structure of this formula in the dataset = 0.0000 eV/atom; energy of formation from the pure elements = -0.46 eV per atom
1.0
-1.504 -4.271 -4.218
5.862 -1.986 -0.079
-1.891 -5.843 6.591
Pd Na Ac
4 4 4
direct
0.993 0.000 0.206
0.493 0.000 0.794
0.993 0.500 0.794
0.493 0.500 0.206
0.243 0.751 0.500
0.743 0.249 0.500
0.243 0.251 0.500
0.743 0.749 0.500
0.993 0.500 0.149
0.493 0.500 0.851
0.993 0.000 0.851
0.493 0.000 0.149


[5]
A plane-wave DFT calculation with PBE was carried out for a relaxed Cs4CeAg3Br12 crystal.

```
Cs4CeAg3Br12
1.0
-6.353 -2.819 -6.880
-3.385 -2.564 8.810
1.108 9.710 -0.367
Cs Ce Ag Br
4 1 3 12
direct
0.500 0.500 0.500
0.000 0.000 0.500
0.500 0.000 0.000
0.000 0.500 0.000
0.000 0.000 0.000
0.500 0.000 0.500
0.500 0.500 0.000
0.000 0.500 0.500
0.250 0.500 0.750
0.754 0.000 0.754
0.246 0.000 0.246
0.750 0.500 0.250
0.754 0.754 0.000
0.246 0.246 0.000
0.750 0.250 0.500
0.250 0.750 0.500
0.500 0.250 0.750
0.000 0.754 0.754
0.500 0.750 0.250
0.000 0.246 0.246
```


[6]
Tb2DyZn2, optimized geometry, DFT PBE; excess energy over the best structure of this formula in the dataset = 0.0000 eV/atom; energy of formation from the pure elements = -0.27 eV per atom
1.0
3.585 0.000 -0.481
0.000 5.150 0.000
-0.038 0.000 13.359
Tb Dy Zn
4 2 4
direct
0.046 0.750 0.092
0.954 0.250 0.908
0.232 0.750 0.465
0.768 0.250 0.535
0.856 0.750 0.713
0.144 0.250 0.287
0.639 0.750 0.279
0.361 0.250 0.721
0.450 0.750 0.900
0.550 0.250 0.100


| no. | E_tot (hartree per atom) |
| --- | --- |
| 1 | -0.30487 |
| 2 | -0.17704 |
| 3 | -0.31179 |
| 4 | -0.14712 |
| 5 | -0.11563 |
| 6 | -0.13040 |